# 1
Computed, not measured: crystalline Cu2OsW at its relaxed geometry at the GGA-PBE level of DFT.

Cell: 6.8327 6.8327 5.0823 Å, 90.00 90.00 90.00°
Closest atoms and distances in Å follow each position.
Space group I-42d (No. 122)
One atom of each set of equivalent atoms:
Cu 0.2468 0.2500 0.1250 [8 per cell]  2 Os 2.48, 2 W 2.51, 2 Cu 2.54
Os 0.0000 0.0000 0.0000 [4 per cell]  4 Cu 2.48, 2 W 2.54
W 0.0000 0.0000 0.5000 [4 per cell]  4 Cu 2.51, 2 Os 2.54

## Properties
The energy above the most stable polymorph in this dataset is 788 meV per atom. The energy of formation from the pure elements comes out at 1.009 eV/atom.

# 2
Computed, not measured: crystalline MnVNi2 at its relaxed geometry at the GGA-PBE level of DFT.

Cell: 2.5122 2.5122 24.9569 Å, 90.00 90.00 120.00°
Closest atoms and distances in Å follow each position.
Space group R3m (No. 160, hexagonal axes)
One atom of each set of equivalent atoms:
Mn 0.0000 0.0000 0.0000 [3 per cell]  6 Ni 2.47-2.49, 6 Mn 2.51
V 0.0000 0.0000 0.8341 [3 per cell]  6 V 2.51, 6 Ni 2.59-2.60
Ni 0.0000 0.0000 0.2533 [3 per cell]  3 Mn 2.47, 6 Ni 2.51, 3 V 2.59
Ni 0.0000 0.0000 0.4142 [3 per cell]  3 Mn 2.49, 6 Ni 2.51, 3 V 2.60

## Properties
The energy of formation from the pure elements comes out at 0.039 eV/atom.

# 3
Computed, not measured: crystalline ScBe2Te at its relaxed geometry at the GGA-PBE level of DFT.

Cell: 3.5684 3.8266 5.3165 Å, 90.00 90.33 90.00°
Closest atoms and distances in Å follow each position.
Space group Pm (No. 6)
One atom of each set of equivalent atoms:
Sc 0.0000 0.0000 0.0000 [1 per cell]  6 Be 2.77-2.85, 4 Te 3.00
Be 0.4919 0.0000 0.6000 [1 per cell]  2 Be 2.16
Be 0.4966 0.5000 0.7886 [1 per cell]  2 Be 2.16
Te 0.5016 0.5000 0.2774 [1 per cell]  4 Be 2.57-2.72

## Properties
For the calculated total energy, the calculation gives -4.1873 eV/atom.

What total moment values result from the calculations? In sequence: 0.0 0.0 0.0 μB per formula unit.